1.
# Pr2TmThBi4 (PBE-GGA, relaxed)
# * E_tot: -5.448 eV per atom
# * ΔH_f (0 K): -80 kJ per mole of atoms
data_Pr2TmThBi4
_chemical_formula_sum 'Pr2 Tm1 Th1 Bi4'
_symmetry_space_group_name_H-M 'P 1 2/m 1'
_symmetry_Int_Tables_number 10
_symmetry_space_group_name_Hall '-P 2y'
_cell_length_a 7.912
_cell_length_b 4.589
_cell_length_c 7.952
_cell_angle_alpha 90.00
_cell_angle_beta 109.48
_cell_angle_gamma 90.00
loop_
_atom_site_label
_atom_site_fract_x
_atom_site_fract_y
_atom_site_fract_z
Pr1 0.000 0.000 0.000
Pr2 0.500 0.500 0.000
Tm1 0.000 0.500 0.500
Th1 0.500 0.000 0.500
Bi1 0.242 0.000 0.739
Bi2 0.247 0.500 0.256



2.
# TlRe2Hg (PBE-GGA, relaxed)
# * E_tot: -5.559 eV per atom
# * energy above the most stable polymorph in this dataset: 884 meV per atom
# * ΔH_f (0 K): 128 kJ per mole of atoms
data_TlRe2Hg
_chemical_formula_sum 'Tl1 Re2 Hg1'
_symmetry_space_group_name_H-M 'P 4/m m m'
_symmetry_Int_Tables_number 123
_symmetry_space_group_name_Hall '-P 4 2'
_cell_length_a 2.840
_cell_length_b 2.840
_cell_length_c 9.091
_cell_angle_alpha 90.00
_cell_angle_beta 90.00
_cell_angle_gamma 90.00
loop_
_atom_site_label
_atom_site_fract_x
_atom_site_fract_y
_atom_site_fract_z
Tl1 0.000 0.000 0.000
Re1 0.500 0.500 0.255
Hg1 0.000 0.000 0.500



3.
# K2HgAuI (PBE-GGA, relaxed)
# * E_tot: -2.078 eV per atom
# * ΔE_f (raw): -614 meV/atom
data_K2HgAuI
_chemical_formula_sum 'K2 Hg1 Au1 I1'
_symmetry_space_group_name_H-M 'P 4/m m m'
_symmetry_Int_Tables_number 123
_symmetry_space_group_name_Hall '-P 4 2'
_cell_length_a 6.312
_cell_length_b 6.312
_cell_length_c 5.381
_cell_angle_alpha 90.00
_cell_angle_beta 90.00
_cell_angle_gamma 90.00
loop_
_atom_site_label
_atom_site_fract_x
_atom_site_fract_y
_atom_site_fract_z
K1 0.000 0.500 0.000
Hg1 0.000 0.000 0.500
Au1 0.000 0.000 0.000
I1 0.500 0.500 0.500



4.
# TcP2SO (PBE-GGA, relaxed)
# * E_tot: -5.457 eV per atom
# * ΔE_f (raw): 597 meV/atom
# * energy above the most stable polymorph in this dataset: 531 meV per atom
data_TcP2SO
_chemical_formula_sum 'Tc1 P2 S1 O1'
_symmetry_space_group_name_H-M 'P 4/m m m'
_symmetry_Int_Tables_number 123
_symmetry_space_group_name_Hall '-P 4 2'
_cell_length_a 4.544
_cell_length_b 4.544
_cell_length_c 3.264
_cell_angle_alpha 90.00
_cell_angle_beta 90.00
_cell_angle_gamma 90.00
loop_
_atom_site_label
_atom_site_fract_x
_atom_site_fract_y
_atom_site_fract_z
Tc1 0.000 0.000 0.000
P1 0.000 0.500 0.500
S1 0.500 0.500 0.500
O1 0.500 0.500 0.000



5.
# LiOs2Pb (PBE-GGA, relaxed)
# * E_tot: -6.229 eV per atom
# * ΔH_f (0 K): 76 kJ per mole of atoms
data_LiOs2Pb
_chemical_formula_sum 'Li1 Os2 Pb1'
_symmetry_space_group_name_H-M 'P m m m'
_symmetry_Int_Tables_number 47
_symmetry_space_group_name_Hall '-P 2 2'
_cell_length_a 2.848
_cell_length_b 4.273
_cell_length_c 5.631
_cell_angle_alpha 90.00
_cell_angle_beta 90.00
_cell_angle_gamma 90.00
loop_
_atom_site_label
_atom_site_fract_x
_atom_site_fract_y
_atom_site_fract_z
Li1 0.000 0.000 0.000
Os1 0.500 0.500 0.207
Pb1 0.000 0.000 0.500



6.
# TbGa4Au4 (PBE-GGA, relaxed)
# * E_tot: -3.671 eV per atom
# * ΔH_f (0 K): -34 kJ per mole of atoms
data_TbGa4Au4
_chemical_formula_sum 'Tb2 Ga8 Au8'
_symmetry_space_group_name_H-M 'P 42/n m c'
_symmetry_Int_Tables_number 137
_cell_length_a 6.181
_cell_length_b 6.181
_cell_length_c 9.109
_cell_angle_alpha 90.00
_cell_angle_beta 90.00
_cell_angle_gamma 90.00
loop_
_symmetry_equiv_pos_as_xyz
'x,y,z'
'-x,-y,-z'
'-y+1/2,x,z+1/2'
'y+1/2,-x,-z+1/2'
'-x+1/2,-y+1/2,z'
'x+1/2,y+1/2,-z'
'y,-x+1/2,z+1/2'
'-y,x+1/2,-z+1/2'
'x+1/2,-y,-z'
'-x+1/2,y,z'
'-y,-x,-z+1/2'
'y,x,z+1/2'
'-x,y+1/2,-z'
'x,-y+1/2,z'
'y+1/2,x+1/2,-z+1/2'
'-y+1/2,-x+1/2,z+1/2'
loop_
_atom_site_label
_atom_site_fract_x
_atom_site_fract_y
_atom_site_fract_z
Tb1 0.250 0.750 0.250
Ga1 0.038 0.250 0.164
Au1 0.012 0.250 0.455



7.
# MgBiP2Cl (PBE-GGA, relaxed)
# * E_tot: -3.399 eV per atom
# * ΔE_f (raw): 229 meV/atom
# * energy above the most stable polymorph in this dataset: 0 meV per atom
data_MgBiP2Cl
_chemical_formula_sum 'Mg1 Bi1 P2 Cl1'
_symmetry_space_group_name_H-M 'P 4/m m m'
_symmetry_Int_Tables_number 123
_symmetry_space_group_name_Hall '-P 4 2'
_cell_length_a 4.996
_cell_length_b 4.996
_cell_length_c 4.646
_cell_angle_alpha 90.00
_cell_angle_beta 90.00
_cell_angle_gamma 90.00
loop_
_atom_site_label
_atom_site_fract_x
_atom_site_fract_y
_atom_site_fract_z
Mg1 0.000 0.000 0.000
Bi1 0.500 0.500 0.500
P1 0.000 0.500 0.000
Cl1 0.000 0.000 0.500



8.
# Rb4TlBr6 (PBE-GGA, relaxed)
# * E_tot: -2.890 eV per atom
# * ΔE_f (raw): -1411 meV/atom
data_Rb4TlBr6
_chemical_formula_sum 'Rb8 Tl2 Br12'
_symmetry_space_group_name_H-M 'P 4/m n c'
_symmetry_Int_Tables_number 128
_symmetry_space_group_name_Hall '-P 4 2n'
_cell_length_a 9.547
_cell_length_b 9.547
_cell_length_c 9.394
_cell_angle_alpha 90.00
_cell_angle_beta 90.00
_cell_angle_gamma 90.00
loop_
_atom_site_label
_atom_site_fract_x
_atom_site_fract_y
_atom_site_fract_z
Rb1 0.167 0.333 0.250
Tl1 0.000 0.000 0.000
Br1 0.000 0.000 0.312
Br2 0.104 0.686 0.000



Please write out number 4 again, unchanged.
# TcP2SO (PBE-GGA, relaxed)
# * E_tot: -5.457 eV per atom
# * ΔE_f (raw): 597 meV/atom
# * energy above the most stable polymorph in this dataset: 531 meV per atom
data_TcP2SO
_chemical_formula_sum 'Tc1 P2 S1 O1'
_symmetry_space_group_name_H-M 'P 4/m m m'
_symmetry_Int_Tables_number 123
_symmetry_space_group_name_Hall '-P 4 2'
_cell_length_a 4.544
_cell_length_b 4.544
_cell_length_c 3.264
_cell_angle_alpha 90.00
_cell_angle_beta 90.00
_cell_angle_gamma 90.00
loop_
_atom_site_label
_atom_site_fract_x
_atom_site_fract_y
_atom_site_fract_z
Tc1 0.000 0.000 0.000
P1 0.000 0.500 0.500
S1 0.500 0.500 0.500
O1 0.500 0.500 0.000



The lowest E_tot belongs to which entry?
LiOs2Pb



Look up the E_tot of the sixth one.
-3.671 eV per atom